[1]
MnCd2Hg, relaxed, DFT PBE; ΔE_f = 0.20 eV/atom; mass density = 9.1 g/cm³
1.0
-3.937 -3.436 -4.119
-4.717 -4.476 1.410
2.758 6.050 0.252
Cd Mn Hg
2 1 1
direct
0.742 0.242 0.500 Cd
0.054 0.054 0.000 Cd
0.254 0.754 0.500 Mn
0.450 0.450 0.000 Hg

[2]
ScCd3Ag2, relaxed, DFT PBE; ΔE_f = -0.10 eV/atom; mass density = 7.8 g/cm³; polymorph energy (0 for the lowest one) = 28.5 meV/atom
1.0
-4.137 -1.397 2.230
3.585 -6.366 2.663
2.996 5.616 3.685
Cd Sc Ag
6 2 4
direct
0.921 0.218 0.843 Cd
0.611 0.574 0.222 Cd
0.313 0.001 0.625 Cd
0.389 0.426 0.778 Cd
0.687 0.999 0.375 Cd
0.079 0.782 0.157 Cd
0.855 0.773 0.709 Sc
0.145 0.227 0.291 Sc
0.756 0.386 0.513 Ag
0.528 0.189 0.057 Ag
0.244 0.614 0.487 Ag
0.472 0.811 0.943 Ag

[3]
Li3Mg4Ir, relaxed, DFT PBE; ΔE_f = -0.19 eV/atom; mass density = 3.6 g/cm³
1.0
-1.224 -3.076 -3.167
6.590 -0.647 -1.920
1.118 -6.732 6.106
Li Mg Ir
6 8 2
direct
0.000 0.000 0.000 Li
0.502 0.000 0.750 Li
0.498 0.000 0.250 Li
0.498 0.500 0.250 Li
0.000 0.000 0.500 Li
0.502 0.500 0.750 Li
0.500 0.277 0.500 Mg
0.998 0.277 0.250 Mg
0.500 0.277 0.000 Mg
0.002 0.277 0.750 Mg
0.500 0.723 0.500 Mg
0.500 0.723 0.000 Mg
0.002 0.723 0.750 Mg
0.998 0.723 0.250 Mg
0.000 0.500 0.500 Ir
0.000 0.500 0.000 Ir

[4]
Zr3ZnCo, relaxed, DFT PBE; ΔE_f = 0.21 eV/atom; mass density = 5.9 g/cm³; polymorph energy (0 for the lowest one) = 395.0 meV/atom
1.0
4.807 0.000 0.000
0.000 4.807 0.000
0.000 0.000 4.807
Co Zn Zr
1 1 3
direct
0.000 0.000 0.000 Co
0.500 0.500 0.500 Zn
0.500 0.000 0.000 Zr
0.000 0.500 0.000 Zr
0.000 0.000 0.500 Zr

[5]
Gd2YPa, relaxed, DFT PBE; ΔE_f = 0.24 eV/atom; mass density = 8.8 g/cm³; polymorph energy (0 for the lowest one) = 110.6 meV/atom
1.0
-1.575 -4.519 -1.126
2.103 -1.756 4.107
-4.177 0.834 2.496
Pa Y Gd
1 1 2
direct
0.500 0.000 0.000 Pa
0.500 0.500 0.500 Y
0.000 0.000 0.500 Gd
0.000 0.500 0.000 Gd

[6]
Pu2MgHg4, relaxed, DFT PBE; ΔE_f = -0.10 eV/atom; mass density = 12.3 g/cm³; polymorph energy (0 for the lowest one) = 0.0 meV/atom
1.0
4.556 0.000 -1.452
-0.463 4.533 -1.452
0.196 0.217 8.489
Hg Pu Mg
4 2 1
direct
0.605 0.105 0.211 Hg
0.895 0.395 0.789 Hg
0.105 0.605 0.211 Hg
0.395 0.895 0.789 Hg
0.753 0.753 0.506 Pu
0.247 0.247 0.494 Pu
0.000 0.000 0.000 Mg

Copy entry 5 word for word.
Gd2YPa, relaxed, DFT PBE; ΔE_f = 0.24 eV/atom; mass density = 8.8 g/cm³; polymorph energy (0 for the lowest one) = 110.6 meV/atom
1.0
-1.575 -4.519 -1.126
2.103 -1.756 4.107
-4.177 0.834 2.496
Pa Y Gd
1 1 2
direct
0.500 0.000 0.000 Pa
0.500 0.500 0.500 Y
0.000 0.000 0.500 Gd
0.000 0.500 0.000 Gd

Question: mass density of number 1 (MnCd2Hg)?
Answer: 9.1 g/cm³

Repeat the fifth record exactly.
Gd2YPa, relaxed, DFT PBE; ΔE_f = 0.24 eV/atom; mass density = 8.8 g/cm³; polymorph energy (0 for the lowest one) = 110.6 meV/atom
1.0
-1.575 -4.519 -1.126
2.103 -1.756 4.107
-4.177 0.834 2.496
Pa Y Gd
1 1 2
direct
0.500 0.000 0.000 Pa
0.500 0.500 0.500 Y
0.000 0.000 0.500 Gd
0.000 0.500 0.000 Gd